# Lu3In3CuNi2 GGA-PBE optimized geometry
data_Lu3In3CuNi2
_symmetry_space_group_name_H-M 'P 1'
_symmetry_Int_Tables_number 1
_cell_length_a 7.3529
_cell_length_b 7.3529
_cell_length_c 3.7574
_cell_angle_alpha 90.00
_cell_angle_beta 90.00
_cell_angle_gamma 120.00
loop_
_symmetry_equiv_pos_as_xyz
'x,y,z'
loop_
_atom_site_label
_atom_site_type_symbol
_atom_site_fract_x
_atom_site_fract_y
_atom_site_fract_z
Lu1 Lu 0.0000 0.5874 0.0000
Lu2 Lu 0.4126 0.4126 0.0000
Lu3 Lu 0.5874 0.0000 0.0000
In1 In 0.0000 0.2603 0.5000
In2 In 0.2603 0.0000 0.5000
In3 In 0.7397 0.7397 0.5000
Cu1 Cu 0.0000 0.0000 0.0000
Ni1 Ni 0.3333 0.6667 0.5000
Ni2 Ni 0.6667 0.3333 0.5000
# Density (Mg/m³): 9.91
# Final energy (eV/atom): -4.541
# Space-group type: No. 189